TbNd3Pd3 after structural relaxation, computed with PBE.

Calculated density = 8.21 g/cm3
ΔH_f (0 K) = -0.62 eV/atom

Cell: 7.149 7.149 7.265 Å, 91.13 91.13 96.91°
Sites, in units of the cell vectors:
Tb 0.245 0.245 0.375
Tb 0.755 0.755 0.625
Nd 0.154 0.154 0.871
Nd 0.246 0.754 0.500
Nd 0.324 0.676 0.000
Nd 0.676 0.324 0.000
Nd 0.754 0.246 0.500
Nd 0.846 0.846 0.129
Pd 0.001 0.478 0.218
Pd 0.437 0.437 0.687
Pd 0.478 0.001 0.218
Pd 0.522 0.999 0.782
Pd 0.563 0.563 0.313
Pd 0.999 0.522 0.782